Here is a relaxed structure of Th12Bi5C2 from the Alexandria database. Energies are from PBE-GGA.

a b c (Å): 9.876 9.876 9.596
angles (deg): 105.72 105.72 45.59
Atoms (fractional coordinates):
Th (0.001, 0.001, 0.175)
Th (0.100, 0.617, 0.925)
Th (0.126, 0.601, 0.452)
Th (0.383, 0.900, 0.075)
Th (0.399, 0.874, 0.548)
Th (0.497, 0.497, 0.799)
Th (0.503, 0.503, 0.201)
Th (0.601, 0.126, 0.452)
Th (0.617, 0.100, 0.925)
Th (0.874, 0.399, 0.548)
Th (0.900, 0.383, 0.075)
Th (0.999, 0.999, 0.825)
Bi (0.000, 0.000, 0.500)
Bi (0.285, 0.285, 0.647)
Bi (0.307, 0.307, 0.158)
Bi (0.693, 0.693, 0.842)
Bi (0.715, 0.715, 0.353)
C (0.262, 0.738, 0.000)
C (0.738, 0.262, 0.000)

As for the total energy: -6.821 eV/atom. Its density of states at the Fermi level is 1.215 states/eV per atom.